A geometry-optimized LiYCoO3 structure, computed with GGA+U.

Structure (extended XYZ):
```
12
Lattice="6.824 -1.605 0.000 6.824 1.605 0.000 0.000 0.000 6.275" Properties=species:S:1:pos:R:3 pbc="T T T"
Y 0.000 0.000 3.138
O 11.444 0.000 3.329
Co 9.091 0.000 1.569
O 11.444 0.000 6.084
Li 9.265 0.000 4.706
O 2.204 0.000 0.191
Li 4.383 0.000 1.569
Co 4.557 0.000 4.706
O 6.654 0.000 1.569
O 2.204 0.000 2.946
Y 0.000 0.000 0.000
O 6.993 0.000 4.706
```

Space group   Cmcm, No. 63
VASP energy   -6.69 eV/atom